First-principles (PBE) data for a relaxed TaNi2 crystal, as listed in Alexandria via LeMat-Bulk.

```
TaNi2
1.0
3.6212 -6.2721 0.0000
3.6212 6.2721 0.0000
0.0000 0.0000 2.6649
Ni Ta
6 3
Direct
0.6878 0.6878 0.0000
0.3533 0.3533 0.5000
0.0000 0.6467 0.5000
0.3122 0.0000 0.0000
0.0000 0.3122 0.0000
0.6467 0.0000 0.5000
0.0000 0.0000 0.5000
0.3333 0.6667 0.0000
0.6667 0.3333 0.0000
```

As for the space-group type: No. 189. For the size of the total moment, the calculation gives 0.00 μB/cell. The formation enthalpy at 0 K comes out at -102 meV per atom. The calculated total energy comes out at -71.2 eV for the cell shown.